PBE-GGA Rb2BaNO, relaxed; space group = P4/mmm; ΔE_f (raw) = 0.569 eV/atom; total moment = 0.66 μB per cell
1.0
7.034 0.000 0.000
0.000 7.034 0.000
0.000 0.000 4.453
Rb Ba N O
2 1 1 1
direct
0.000 0.500 0.000 Rb
0.500 0.000 0.000 Rb
0.000 0.000 0.000 Ba
0.000 0.000 0.500 N
0.500 0.500 0.500 O

=====

PBE-GGA Sr2VBPt, relaxed; space group = P4/mmm; E_form = 0.738 eV/atom; total moment = 2.87 μB per cell
1.0
5.777 0.000 0.000
0.000 5.777 0.000
0.000 0.000 3.899
Sr V B Pt
2 1 1 1
direct
0.000 0.500 0.000 Sr
0.500 0.000 0.000 Sr
0.000 0.000 0.000 V
0.000 0.000 0.500 B
0.500 0.500 0.500 Pt

=====

PBE-GGA Zr4Al3Re, relaxed; space group = P4/mmm; E_form = -0.348 eV/atom; total moment = 0.00 μB per cell
1.0
3.272 0.000 0.000
0.000 3.272 0.000
0.000 0.000 14.423
Zr Al Re
4 3 1
direct
0.000 0.000 0.110 Zr
0.000 0.000 0.367 Zr
0.000 0.000 0.633 Zr
0.000 0.000 0.890 Zr
0.500 0.500 0.240 Al
0.500 0.500 0.500 Al
0.500 0.500 0.760 Al
0.500 0.500 0.000 Re

=====

PBE-GGA Ca2Pr3Ru2, relaxed; space group = C2/m; E_form = -0.082 eV/atom; total moment = 0.00 μB per cell
1.0
12.609 0.000 0.000
0.000 3.936 0.000
-3.987 0.000 8.209
Ca Pr Ru
4 6 4
direct
0.172 0.000 0.309 Ca
0.328 0.500 0.691 Ca
0.672 0.500 0.309 Ca
0.828 0.000 0.691 Ca
0.000 0.500 0.500 Pr
0.120 0.500 0.931 Pr
0.380 0.000 0.069 Pr
0.500 0.000 0.500 Pr
0.620 0.000 0.931 Pr
0.880 0.500 0.069 Pr
0.167 0.000 0.738 Ru
0.333 0.500 0.262 Ru
0.667 0.500 0.738 Ru
0.833 0.000 0.262 Ru

=====

PBE-GGA Dy6Tm3Cd, relaxed; space group = Cmc2_1; E_form = 0.084 eV/atom; total moment = 0.00 μB per cell; energy above the most stable polymorph in this dataset = 101.4 meV/atom
1.0
4.749 -6.982 0.000
4.749 6.982 0.000
0.000 0.000 9.182
Dy Tm Cd
12 6 2
direct
0.068 0.932 0.500 Dy
0.123 0.282 0.316 Dy
0.173 0.476 0.976 Dy
0.282 0.123 0.816 Dy
0.303 0.697 0.380 Dy
0.476 0.173 0.476 Dy
0.524 0.827 0.976 Dy
0.697 0.303 0.880 Dy
0.718 0.877 0.316 Dy
0.827 0.524 0.476 Dy
0.877 0.718 0.816 Dy
0.932 0.068 0.000 Dy
0.035 0.320 0.661 Tm
0.320 0.035 0.161 Tm
0.473 0.527 0.665 Tm
0.527 0.473 0.165 Tm
0.680 0.965 0.661 Tm
0.965 0.680 0.161 Tm
0.250 0.750 0.715 Cd
0.750 0.250 0.215 Cd

=====

PBE-GGA PbS3N, relaxed; space group = Pm-3m; ΔE_f (raw) = 0.833 eV/atom; total moment = 0.00 μB per cell; energy above the most stable polymorph in this dataset = 0.0 meV/atom
1.0
4.382 0.000 0.000
0.000 4.382 0.000
0.000 0.000 4.382
Pb S N
1 3 1
direct
0.000 0.000 0.000 Pb
0.000 0.500 0.500 S
0.500 0.000 0.500 S
0.500 0.500 0.000 S
0.500 0.500 0.500 N

=====

PBE-GGA Zr2ReHRh, relaxed; space group = P4/mmm; total moment = 0.00 μB per cell; energy above the most stable polymorph in this dataset = 42.4 meV/atom
1.0
4.587 0.000 0.000
0.000 4.587 0.000
0.000 0.000 3.578
Zr Re H Rh
2 1 1 1
direct
0.000 0.500 0.000 Zr
0.500 0.000 0.000 Zr
0.000 0.000 0.500 Re
0.000 0.000 0.000 H
0.500 0.500 0.500 Rh

=====

PBE-GGA AcScAs2, relaxed; space group = P4/mmm; E_form = -0.849 eV/atom; total moment = 0.00 μB per cell; energy above the most stable polymorph in this dataset = 495.5 meV/atom
1.0
5.198 0.000 0.000
0.000 5.198 0.000
0.000 0.000 3.698
Ac Sc As
1 1 2
direct
0.000 0.000 0.000 Ac
0.500 0.500 0.000 Sc
0.000 0.500 0.500 As
0.500 0.000 0.500 As

=====

PBE-GGA ZrAlIr3, relaxed; space group = Pm-3m; E_form = 0.187 eV/atom; total moment = 0.00 μB per cell; energy above the most stable polymorph in this dataset = 0.0 meV/atom
1.0
4.456 0.000 0.000
0.000 4.456 0.000
0.000 0.000 4.456
Zr Al Ir
1 1 3
direct
0.000 0.000 0.000 Zr
0.500 0.500 0.500 Al
0.000 0.500 0.500 Ir
0.500 0.000 0.500 Ir
0.500 0.500 0.000 Ir

=====

PBE-GGA Ti2Sb2Ru, relaxed; space group = P4/mbm; ΔE_f (raw) = -0.151 eV/atom; total moment = 0.00 μB per cell; energy above the most stable polymorph in this dataset = 0.0 meV/atom
1.0
6.862 0.000 0.000
0.000 6.862 0.000
0.000 0.000 4.052
Ti Sb Ru
4 4 2
direct
0.149 0.351 0.000 Ti
0.351 0.851 0.000 Ti
0.649 0.149 0.000 Ti
0.851 0.649 0.000 Ti
0.153 0.653 0.500 Sb
0.347 0.153 0.500 Sb
0.653 0.847 0.500 Sb
0.847 0.347 0.500 Sb
0.000 0.000 0.500 Ru
0.500 0.500 0.500 Ru

=====

PBE-GGA Mg3Pa3TcN8, relaxed; space group = R-3m; ΔE_f (raw) = -0.981 eV/atom; total moment = 2.02 μB per cell
1.0
3.368 1.945 5.179
-3.368 1.945 5.179
0.000 -3.889 5.179
Mg Pa Tc N
3 3 1 8
direct
0.000 0.500 0.500 Mg
0.500 0.000 0.500 Mg
0.500 0.500 0.000 Mg
0.000 0.000 0.500 Pa
0.000 0.500 0.000 Pa
0.500 0.000 0.000 Pa
0.500 0.500 0.500 Tc
0.252 0.252 0.252 N
0.257 0.733 0.733 N
0.267 0.267 0.743 N
0.267 0.743 0.267 N
0.733 0.257 0.733 N
0.733 0.733 0.257 N
0.743 0.267 0.267 N
0.748 0.748 0.748 N

=====

PBE-GGA RbB2O, relaxed; space group = I4_1/amd; ΔE_f (raw) = 0.633 eV/atom; total moment = 0.00 μB per cell
1.0
3.682 0.000 0.000
0.000 3.682 0.000
0.000 0.000 15.995
Rb B O
4 8 4
direct
0.000 0.250 0.375 Rb
0.000 0.750 0.625 Rb
0.500 0.250 0.125 Rb
0.500 0.750 0.875 Rb
0.000 0.000 0.000 B
0.000 0.500 0.000 B
0.250 0.250 0.750 B
0.250 0.750 0.250 B
0.500 0.000 0.500 B
0.500 0.500 0.500 B
0.750 0.250 0.750 B
0.750 0.750 0.250 B
0.000 0.250 0.875 O
0.000 0.750 0.125 O
0.500 0.250 0.625 O
0.500 0.750 0.375 O